# ZrSi2W2 PBE relaxed
# space group: P4/mbm (127)
# formation energy from raw total energies: -248 meV per atom
data_ZrSi2W2
_cell_length_a 7.005
_cell_length_b 7.005
_cell_length_c 3.238
_cell_angle_alpha 90.00
_cell_angle_beta 90.00
_cell_angle_gamma 90.00
_space_group_name_H-M_alt 'P 1'
_space_group_IT_number 1
loop_
_space_group_symop_operation_xyz
'x,y,z'
loop_
_atom_site_label
_atom_site_type_symbol
_atom_site_fract_x
_atom_site_fract_y
_atom_site_fract_z
_atom_site_occupancy
Zr1 Zr 0.000 0.000 0.000 1
Zr2 Zr 0.500 0.500 0.000 1
Si1 Si 0.135 0.365 0.000 1
Si2 Si 0.365 0.865 0.000 1
Si3 Si 0.635 0.135 0.000 1
Si4 Si 0.865 0.635 0.000 1
W1 W 0.152 0.652 0.500 1
W2 W 0.348 0.152 0.500 1
W3 W 0.652 0.848 0.500 1
W4 W 0.848 0.348 0.500 1

# KSrCr2 PBE relaxed
# space group: Cmmm (65)
# energy relative to the lowest polymorph listed for this composition: 0.3876 eV/atom
data_KSrCr2
_cell_length_a 8.337
_cell_length_b 8.401
_cell_length_c 3.971
_cell_angle_alpha 90.00
_cell_angle_beta 90.00
_cell_angle_gamma 90.00
_space_group_name_H-M_alt 'P 1'
_space_group_IT_number 1
loop_
_space_group_symop_operation_xyz
'x,y,z'
loop_
_atom_site_label
_atom_site_type_symbol
_atom_site_fract_x
_atom_site_fract_y
_atom_site_fract_z
_atom_site_occupancy
K1 K 0.000 0.000 0.000 1
K2 K 0.500 0.500 0.000 1
Sr1 Sr 0.000 0.500 0.000 1
Sr2 Sr 0.500 0.000 0.000 1
Cr1 Cr 0.250 0.250 0.500 1
Cr2 Cr 0.250 0.750 0.500 1
Cr3 Cr 0.750 0.250 0.500 1
Cr4 Cr 0.750 0.750 0.500 1

# Cs4SrCa3F12 PBE relaxed
# space group: Im-3m (229)
# formation energy from raw total energies: -3463 meV per atom
data_Cs4SrCa3F12
_cell_length_a 8.037
_cell_length_b 8.037
_cell_length_c 8.037
_cell_angle_alpha 109.47
_cell_angle_beta 109.47
_cell_angle_gamma 109.47
_space_group_name_H-M_alt 'P 1'
_space_group_IT_number 1
loop_
_space_group_symop_operation_xyz
'x,y,z'
loop_
_atom_site_label
_atom_site_type_symbol
_atom_site_fract_x
_atom_site_fract_y
_atom_site_fract_z
_atom_site_occupancy
Cs1 Cs 0.000 0.000 0.500 1
Cs2 Cs 0.000 0.500 0.000 1
Cs3 Cs 0.500 0.000 0.000 1
Cs4 Cs 0.500 0.500 0.500 1
Sr1 Sr 0.000 0.000 0.000 1
Ca1 Ca 0.000 0.500 0.500 1
Ca2 Ca 0.500 0.000 0.500 1
Ca3 Ca 0.500 0.500 0.000 1
F1 F 0.000 0.259 0.259 1
F2 F 0.000 0.741 0.741 1
F3 F 0.250 0.500 0.750 1
F4 F 0.250 0.750 0.500 1
F5 F 0.259 0.000 0.259 1
F6 F 0.259 0.259 0.000 1
F7 F 0.500 0.250 0.750 1
F8 F 0.500 0.750 0.250 1
F9 F 0.741 0.000 0.741 1
F10 F 0.741 0.741 0.000 1
F11 F 0.750 0.250 0.500 1
F12 F 0.750 0.500 0.250 1

# YBiSN2 PBE relaxed
# space group: P4/mmm (123)
# formation energy from raw total energies: 510 meV per atom
# energy relative to the lowest polymorph listed for this composition: 0.0000 eV/atom
data_YBiSN2
_cell_length_a 4.276
_cell_length_b 4.276
_cell_length_c 5.227
_cell_angle_alpha 90.00
_cell_angle_beta 90.00
_cell_angle_gamma 90.00
_space_group_name_H-M_alt 'P 1'
_space_group_IT_number 1
loop_
_space_group_symop_operation_xyz
'x,y,z'
loop_
_atom_site_label
_atom_site_type_symbol
_atom_site_fract_x
_atom_site_fract_y
_atom_site_fract_z
_atom_site_occupancy
Y1 Y 0.000 0.000 0.000 1
Bi1 Bi 0.500 0.500 0.500 1
S1 S 0.500 0.500 0.000 1
N1 N 0.000 0.500 0.500 1
N2 N 0.500 0.000 0.500 1

# Mg2PbCl6 PBE relaxed
# space group: P-31m (162)
# formation energy from raw total energies: -1611 meV per atom
# energy relative to the lowest polymorph listed for this composition: 0.0000 eV/atom
data_Mg2PbCl6
_cell_length_a 6.550
_cell_length_b 6.550
_cell_length_c 6.267
_cell_angle_alpha 90.00
_cell_angle_beta 90.00
_cell_angle_gamma 120.00
_space_group_name_H-M_alt 'P 1'
_space_group_IT_number 1
loop_
_space_group_symop_operation_xyz
'x,y,z'
loop_
_atom_site_label
_atom_site_type_symbol
_atom_site_fract_x
_atom_site_fract_y
_atom_site_fract_z
_atom_site_occupancy
Mg1 Mg 0.333 0.667 0.000 1
Mg2 Mg 0.667 0.333 0.000 1
Pb1 Pb 0.000 0.000 0.500 1
Cl1 Cl 0.000 0.364 0.226 1
Cl2 Cl 0.000 0.636 0.774 1
Cl3 Cl 0.364 0.000 0.226 1
Cl4 Cl 0.364 0.364 0.774 1
Cl5 Cl 0.636 0.000 0.774 1
Cl6 Cl 0.636 0.636 0.226 1

# BeTc2Ir PBE relaxed
# space group: Cmm2 (35)
data_BeTc2Ir
_cell_length_a 2.868
_cell_length_b 4.522
_cell_length_c 8.303
_cell_angle_alpha 90.00
_cell_angle_beta 90.00
_cell_angle_gamma 90.00
_space_group_name_H-M_alt 'P 1'
_space_group_IT_number 1
loop_
_space_group_symop_operation_xyz
'x,y,z'
loop_
_atom_site_label
_atom_site_type_symbol
_atom_site_fract_x
_atom_site_fract_y
_atom_site_fract_z
_atom_site_occupancy
Be1 Be 0.000 0.000 0.000 1
Be2 Be 0.500 0.500 0.000 1
Tc1 Tc 0.000 0.000 0.497 1
Tc2 Tc 0.000 0.500 0.235 1
Tc3 Tc 0.500 0.000 0.235 1
Tc4 Tc 0.500 0.500 0.497 1
Ir1 Ir 0.000 0.500 0.784 1
Ir2 Ir 0.500 0.000 0.784 1

# KGaSi PBE relaxed
# space group: P-1 (2)
# formation energy from raw total energies: -46 meV per atom
data_KGaSi
_cell_length_a 4.175
_cell_length_b 5.974
_cell_length_c 6.905
_cell_angle_alpha 99.16
_cell_angle_beta 103.61
_cell_angle_gamma 105.54
_space_group_name_H-M_alt 'P 1'
_space_group_IT_number 1
loop_
_space_group_symop_operation_xyz
'x,y,z'
loop_
_atom_site_label
_atom_site_type_symbol
_atom_site_fract_x
_atom_site_fract_y
_atom_site_fract_z
_atom_site_occupancy
K1 K 0.249 0.216 0.368 1
K2 K 0.751 0.784 0.632 1
Ga1 Ga 0.479 0.793 0.049 1
Ga2 Ga 0.521 0.207 0.951 1
Si1 Si 0.047 0.387 0.839 1
Si2 Si 0.953 0.613 0.161 1

# HfSc4In3 PBE relaxed
# space group: P4/mmm (123)
data_HfSc4In3
_cell_length_a 3.181
_cell_length_b 3.181
_cell_length_c 17.906
_cell_angle_alpha 90.00
_cell_angle_beta 90.00
_cell_angle_gamma 90.00
_space_group_name_H-M_alt 'P 1'
_space_group_IT_number 1
loop_
_space_group_symop_operation_xyz
'x,y,z'
loop_
_atom_site_label
_atom_site_type_symbol
_atom_site_fract_x
_atom_site_fract_y
_atom_site_fract_z
_atom_site_occupancy
Hf1 Hf 0.000 0.000 0.000 1
Sc1 Sc 0.500 0.500 0.124 1
Sc2 Sc 0.500 0.500 0.375 1
Sc3 Sc 0.500 0.500 0.625 1
Sc4 Sc 0.500 0.500 0.876 1
In1 In 0.000 0.000 0.253 1
In2 In 0.000 0.000 0.500 1
In3 In 0.000 0.000 0.747 1

Calculated total energy (eV/atom)
-9.31, -4.44, -5.14, -5.72, -3.61, -8.22, -3.23, -5.77
Size of the total moment (μB per formula unit)
0.000, 9.950, 0.351, 0.000, 0.000, 0.000, 0.000, 0.818